(1)
Density functional theory data (GGA-PBE) for a relaxed structure of Sr4BeIr.

Geometry as CIF:
```
data_Sr4BeIr
_cell_length_a 6.4603
_cell_length_b 6.4603
_cell_length_c 6.4603
_cell_angle_alpha 60.00
_cell_angle_beta 60.00
_cell_angle_gamma 60.00
_space_group_name_H-M_alt 'P 1'
_space_group_IT_number 1
loop_
_space_group_symop_operation_xyz
'x,y,z'
loop_
_atom_site_label
_atom_site_type_symbol
_atom_site_fract_x
_atom_site_fract_y
_atom_site_fract_z
Sr1 Sr 0.3739 0.8782 0.3739
Sr2 Sr 0.8782 0.3739 0.3739
Sr3 Sr 0.3739 0.3739 0.3739
Sr4 Sr 0.3739 0.3739 0.8782
Ir1 Ir 0.0000 0.0000 0.0000
Be1 Be 0.7500 0.7500 0.7500
```

Computed properties:
Its final energy is -12.0 eV per formula unit. As for the space-group type: F-43m.

(2)
Density functional theory data (GGA-PBE) for a relaxed structure of CeAgHgSb.

Geometry as CIF:
```
data_CeAgHgSb
_cell_length_a 5.2084
_cell_length_b 5.2084
_cell_length_c 5.2084
_cell_angle_alpha 60.00
_cell_angle_beta 60.00
_cell_angle_gamma 60.00
_space_group_name_H-M_alt 'P 1'
_space_group_IT_number 1
loop_
_space_group_symop_operation_xyz
'x,y,z'
loop_
_atom_site_label
_atom_site_type_symbol
_atom_site_fract_x
_atom_site_fract_y
_atom_site_fract_z
Sb1 Sb 0.5000 0.5000 0.5000
Ce1 Ce 0.7500 0.7500 0.7500
Hg1 Hg 0.0000 0.0000 0.0000
Ag1 Ag 0.2500 0.2500 0.2500
```

Computed properties:
Its final energy is -14.6 eV per formula unit. The value obtained for the formation energy without anion corrections is -352.8 meV/atom. As for the space-group type: F-43m.

(3)
Density functional theory data (GGA-PBE) for a relaxed structure of HoPu2Pd9.

Geometry as CIF:
```
data_HoPu2Pd9
_cell_length_a 4.1307
_cell_length_b 4.1307
_cell_length_c 12.4054
_cell_angle_alpha 90.00
_cell_angle_beta 90.00
_cell_angle_gamma 90.00
_space_group_name_H-M_alt 'P 1'
_space_group_IT_number 1
loop_
_space_group_symop_operation_xyz
'x,y,z'
loop_
_atom_site_label
_atom_site_type_symbol
_atom_site_fract_x
_atom_site_fract_y
_atom_site_fract_z
Pd1 Pd 0.5000 0.5000 0.6673
Pd2 Pd 0.0000 0.5000 0.1667
Pd3 Pd 0.0000 0.5000 0.5000
Pd4 Pd 0.0000 0.5000 0.8333
Pd5 Pd 0.5000 0.5000 0.3327
Pd6 Pd 0.5000 0.5000 0.0000
Pd7 Pd 0.5000 0.0000 0.5000
Pd8 Pd 0.5000 0.0000 0.8333
Pd9 Pd 0.5000 0.0000 0.1667
Pu1 Pu 0.0000 0.0000 0.3319
Pu2 Pu 0.0000 0.0000 0.6681
Ho1 Ho 0.0000 0.0000 0.0000
```

Computed properties:
Its final energy is -88.1 eV per formula unit. As for the space-group type: P4/mmm.